# 1
Density functional theory data (GGA-PBEsol) for a relaxed structure of LiCoP2O7.

abc: 6.105 6.126 6.637
angles: 66.55 86.47 82.52
Positions (direct):
Li (0.005, 0.214, 0.331)
Li (0.995, 0.786, 0.669)
Co (0.365, 0.414, 0.707)
Co (0.635, 0.586, 0.293)
P (0.126, 0.718, 0.265)
P (0.402, 0.847, 0.849)
P (0.598, 0.153, 0.151)
P (0.874, 0.282, 0.735)
O (0.046, 0.899, 0.357)
O (0.048, 0.440, 0.742)
O (0.205, 0.851, 0.020)
O (0.326, 0.725, 0.709)
O (0.335, 0.541, 0.385)
O (0.391, 0.287, 0.015)
O (0.418, 0.107, 0.699)
O (0.582, 0.893, 0.301)
O (0.609, 0.713, 0.985)
O (0.665, 0.459, 0.615)
O (0.674, 0.275, 0.291)
O (0.795, 0.149, 0.980)
O (0.952, 0.560, 0.258)
O (0.954, 0.101, 0.643)

excess energy over the best structure of this formula in the dataset	13	meV per atom
raw formation energy	-1.92	eV/atom
symmetry	P-1
ρ	3.5	Mg/m³

=====

# 2
Density functional theory data (GGA-PBEsol) for a relaxed structure of LiCoP2O7.

abc: 5.049 5.049 4.362
angles: 98.40 98.40 102.32
Positions (direct):
Li (0.000, 0.000, 0.000)
Co (0.631, 0.369, 0.000)
P (0.076, 0.503, 0.592)
P (0.497, 0.924, 0.408)
O (0.207, 0.793, 0.500)
O (0.294, 0.375, 0.741)
O (0.402, 0.112, 0.189)
O (0.625, 0.706, 0.259)
O (0.686, 0.071, 0.726)
O (0.888, 0.598, 0.811)
O (0.929, 0.314, 0.274)

excess energy over the best structure of this formula in the dataset	7	meV per atom
raw formation energy	-1.92	eV/atom
symmetry	C2
ρ	3.8	Mg/m³

=====

# 3
Density functional theory data (GGA-PBEsol) for a relaxed structure of Li4CoP2O8.

abc: 4.726 5.208 6.159
angles: 96.65 94.16 100.34
Positions (direct):
Li (0.176, 0.294, 0.032)
Li (0.248, 0.559, 0.681)
Li (0.752, 0.441, 0.319)
Li (0.824, 0.706, 0.968)
Co (0.000, 0.000, 0.500)
P (0.358, 0.821, 0.227)
P (0.642, 0.179, 0.773)
O (0.192, 0.670, 0.399)
O (0.244, 0.681, 0.995)
O (0.289, 0.103, 0.262)
O (0.314, 0.185, 0.740)
O (0.686, 0.815, 0.260)
O (0.711, 0.897, 0.738)
O (0.756, 0.319, 0.005)
O (0.808, 0.330, 0.601)

excess energy over the best structure of this formula in the dataset	51	meV per atom
raw formation energy	-2.11	eV/atom
symmetry	P-1
ρ	3.1	Mg/m³